Compound: Na2MnBAsO7
Source: the Alexandria database
Functional: PBE+U
Structure: relaxed

Output
Symmetry: P2_1/m (11)
Raw total energy in eV per formula unit: -76.24
Magnetization in μB/f.u.: 2.97

a b c (Å): 5.4877 6.5602 9.3420
angles (deg): 90.00 93.83 90.00
Last column: nearest neighbours and their distance in Å.
Fractional coordinates of all 24 atoms:
1 Na 0.2379 0.0035 0.2941  3 O 2.21-2.33
2 Na 0.2379 0.4965 0.2941  3 O 2.21-2.33
3 Na 0.7621 0.5035 0.7059  3 O 2.21-2.33
4 Na 0.7621 0.9965 0.7059  3 O 2.21-2.33
5 Mn 0.2134 0.7500 0.8398  6 O 1.93-2.03
6 Mn 0.7866 0.2500 0.1602  6 O 1.93-2.03
7 B 0.2721 0.7500 0.5855  3 O 1.31-1.42
8 B 0.7279 0.2500 0.4145  3 O 1.31-1.42
9 As 0.2773 0.2500 0.9356  4 O 1.71-1.73
10 As 0.7227 0.7500 0.0644  4 O 1.71-1.73
11 O 0.0467 0.7500 0.6494  1 B 1.41
12 O 0.1308 0.2500 0.0915  1 As 1.71
13 O 0.1895 0.0477 0.8260  1 As 1.73
14 O 0.1895 0.4523 0.8260  1 As 1.73
15 O 0.3085 0.7500 0.4478  1 B 1.31
16 O 0.4086 0.7500 0.0284  1 As 1.73
17 O 0.4562 0.7500 0.6999  1 B 1.42
18 O 0.5438 0.2500 0.3001  1 B 1.42
19 O 0.5914 0.2500 0.9716  1 As 1.73
20 O 0.6915 0.2500 0.5522  1 B 1.31
21 O 0.8105 0.5477 0.1740  1 As 1.73
22 O 0.8105 0.9523 0.1740  1 As 1.73
23 O 0.8692 0.7500 0.9085  1 As 1.71
24 O 0.9533 0.2500 0.3506  1 B 1.41